Entry 1:
Entry from Alexandria: KCd2Sn after structural relaxation (GGA-PBE).

DOS(E_F): 0.44 states/eV/atom

Lattice parameters (Å, degrees): 6.6779 6.6779 6.6779 44.68 44.68 44.68
With the nearest neighbours (Å) after each atom.
Fractional positions:
K 0.0000 0.0000 0.0000  8 Cd 3.67-3.79
Cd 0.2107 0.2107 0.2107  3 Sn 3.04, 3 Cd 3.33
Cd 0.7893 0.7893 0.7893  3 Sn 3.04, 3 Cd 3.33
Sn 0.5000 0.5000 0.5000  6 Cd 3.04


Entry 2:
Entry from Alexandria: KCd2Sn after structural relaxation (GGA-PBE).

DOS(E_F): 0.59 states/eV/atom

Lattice parameters (Å, degrees): 3.9572 3.9572 7.8317 90.00 90.00 90.00
With the nearest neighbours (Å) after each atom.
Fractional positions:
K 0.0000 0.0000 0.0000  8 Cd 3.63, 2 Sn 3.92, 4 K 3.96
Cd 0.5000 0.5000 0.2952  1 Cd 3.21, 4 Sn 3.23
Cd 0.5000 0.5000 0.7048  1 Cd 3.21, 4 Sn 3.23
Sn 0.0000 0.0000 0.5000  8 Cd 3.23


Entry 3:
Entry from Alexandria: KCdSn2 after structural relaxation (GGA-PBE).

DOS(E_F): 0.64 states/eV/atom

Lattice parameters (Å, degrees): 7.5487 7.5487 7.5487 37.19 37.19 37.19
With the nearest neighbours (Å) after each atom.
Fractional positions:
K 0.0000 0.0000 0.0000  6 Sn 3.63-3.81, 1 Cd 3.78
Cd 0.8206 0.8206 0.8206  6 Sn 2.92-3.02
Sn 0.2095 0.2095 0.2095  3 Cd 3.02
Sn 0.4445 0.4445 0.4445  3 Cd 2.92


Entry 4:
Entry from Alexandria: K3Cd4Sn4 after structural relaxation (GGA-PBE).

Energy relative to the lowest polymorph listed for this composition: 54.1 meV/atom
DOS(E_F): 0.52 states/eV/atom

Lattice parameters (Å, degrees): 7.9125 7.9125 7.9125 109.47 109.47 109.47
With the nearest neighbours (Å) after each atom.
Fractional positions:
K 0.0000 0.5000 0.5000  4 Sn 3.73, 4 Cd 3.73
K 0.5000 0.0000 0.5000  4 Sn 3.73, 4 Cd 3.73
K 0.5000 0.5000 0.0000  4 Sn 3.73, 4 Cd 3.73
Cd 0.0000 0.0000 0.6807  4 Sn 2.82-2.94
Cd 0.0000 0.6807 0.0000  4 Sn 2.82-2.94
Cd 0.3193 0.3193 0.3193  4 Sn 2.82-2.94
Cd 0.6807 0.0000 0.0000  4 Sn 2.82-2.94
Sn 0.0000 0.0000 0.3245  4 Cd 2.82-2.94
Sn 0.0000 0.3245 0.0000  4 Cd 2.82-2.94
Sn 0.3245 0.0000 0.0000  4 Cd 2.82-2.94
Sn 0.6755 0.6755 0.6755  4 Cd 2.82-2.94


Entry 5:
Entry from Alexandria: KCd6Sn after structural relaxation (GGA-PBE).

DOS(E_F): 0.22 states/eV/atom

Lattice parameters (Å, degrees): 11.4221 11.4221 11.4221 24.76 24.76 24.76
With the nearest neighbours (Å) after each atom.
Fractional positions:
K 0.0000 0.0000 0.0000  12 Cd 3.65-4.01
Cd 0.1262 0.1262 0.1262  3 Sn 3.13, 6 Cd 3.13-3.40
Cd 0.2477 0.2477 0.2477  6 Cd 2.88-3.13
Cd 0.4028 0.4028 0.4028  3 Cd 2.88
Cd 0.5972 0.5972 0.5972  3 Cd 2.88
Cd 0.7523 0.7523 0.7523  6 Cd 2.88-3.13
Cd 0.8738 0.8738 0.8738  3 Sn 3.13, 6 Cd 3.13-3.40
Sn 0.5000 0.5000 0.5000  8 Cd 3.13-3.23


Entry 6:
Entry from Alexandria: K3Cd8Sn after structural relaxation (GGA-PBE).

DOS(E_F): 0.65 states/eV/atom

Lattice parameters (Å, degrees): 10.7721 10.7721 10.7721 33.79 33.79 33.79
With the nearest neighbours (Å) after each atom.
Fractional positions:
K 0.0000 0.0000 0.0000  12 Cd 3.67-3.71, 4 K 3.85-3.86
K 0.1268 0.1268 0.1268  12 Cd 3.54-3.66, 3 Sn 3.82, 1 K 3.86
K 0.6230 0.6230 0.6230  12 Cd 3.66-3.79, 1 Sn 3.72, 3 K 3.85
Cd 0.0620 0.0620 0.5577  6 Cd 3.06-3.17
Cd 0.0620 0.5577 0.0620  6 Cd 3.06-3.17
Cd 0.0694 0.5633 0.5633  6 Cd 3.08-3.17
Cd 0.3131 0.3131 0.3131  6 Cd 3.16-3.17
Cd 0.5577 0.0620 0.0620  6 Cd 3.06-3.17
Cd 0.5633 0.0694 0.5633  6 Cd 3.08-3.17
Cd 0.5633 0.5633 0.0694  6 Cd 3.08-3.17
Cd 0.8133 0.8133 0.8133  6 Cd 3.06-3.08
Sn 0.5009 0.5009 0.5009  12 Cd 3.59-3.67, 4 K 3.72-3.82


Entry 7:
Entry from Alexandria: KCdSn2 after structural relaxation (GGA-PBE).

DOS(E_F): 0.69 states/eV/atom

Lattice parameters (Å, degrees): 3.9009 3.9009 7.9987 90.00 90.00 90.00
With the nearest neighbours (Å) after each atom.
Fractional positions:
K 0.0000 0.0000 0.0000  8 Sn 3.71, 4 K 3.90, 2 Cd 4.00
Cd 0.0000 0.0000 0.5000  8 Sn 3.15
Sn 0.5000 0.5000 0.3095  1 Sn 3.05, 4 Cd 3.15
Sn 0.5000 0.5000 0.6905  1 Sn 3.05, 4 Cd 3.15


Entry 8:
Entry from Alexandria: K2CdSn7 after structural relaxation (GGA-PBE).

DOS(E_F): 0.35 states/eV/atom

Lattice parameters (Å, degrees): 5.1568 5.1568 12.6171 90.00 90.00 90.00
With the nearest neighbours (Å) after each atom.
Fractional positions:
K 0.0000 0.5000 0.2432  14 Sn 3.93-4.14, 2 Cd 4.01
K 0.5000 0.0000 0.7568  14 Sn 3.93-4.14, 2 Cd 4.01
Cd 0.5000 0.5000 0.0000  4 Sn 3.03
Sn 0.0000 0.0000 0.0000  4 Sn 3.03
Sn 0.0000 0.0000 0.5000  4 Sn 3.06
Sn 0.0000 0.5000 0.6307  5 Sn 3.06
Sn 0.0000 0.5000 0.8736  2 Cd 3.03, 3 Sn 3.03-3.06
Sn 0.5000 0.0000 0.1264  2 Cd 3.03, 3 Sn 3.03-3.06
Sn 0.5000 0.0000 0.3693  5 Sn 3.06
Sn 0.5000 0.5000 0.5000  4 Sn 3.06


Entry 9:
Entry from Alexandria: KCd12Sn4 after structural relaxation (GGA-PBE).

DOS(E_F): 0.76 states/eV/atom

Lattice parameters (Å, degrees): 8.7483 8.7483 8.7483 109.47 109.47 109.47
With the nearest neighbours (Å) after each atom.
Fractional positions:
K 0.0000 0.0000 0.0000  12 Cd 3.89
Cd 0.1486 0.5034 0.3548  2 Sn 2.92, 2 Cd 2.93-3.00
Cd 0.1486 0.7938 0.6452  2 Sn 2.92, 2 Cd 2.93-3.00
Cd 0.2062 0.3548 0.8514  2 Sn 2.92, 2 Cd 2.93-3.00
Cd 0.3548 0.1486 0.5034  2 Sn 2.92, 2 Cd 2.93-3.00
Cd 0.3548 0.8514 0.2062  2 Sn 2.92, 2 Cd 2.93-3.00
Cd 0.4966 0.6452 0.8514  2 Sn 2.92, 2 Cd 2.93-3.00
Cd 0.5034 0.3548 0.1486  2 Sn 2.92, 2 Cd 2.93-3.00
Cd 0.6452 0.1486 0.7938  2 Sn 2.92, 2 Cd 2.93-3.00
Cd 0.6452 0.8514 0.4966  2 Sn 2.92, 2 Cd 2.93-3.00
Cd 0.7938 0.6452 0.1486  2 Sn 2.92, 2 Cd 2.93-3.00
Cd 0.8514 0.2062 0.3548  2 Sn 2.92, 2 Cd 2.93-3.00
Cd 0.8514 0.4966 0.6452  2 Sn 2.92, 2 Cd 2.93-3.00
Sn 0.0000 0.0000 0.5000  6 Cd 2.92
Sn 0.0000 0.5000 0.0000  6 Cd 2.92
Sn 0.5000 0.0000 0.0000  6 Cd 2.92
Sn 0.5000 0.5000 0.5000  6 Cd 2.92


Entry 10:
Entry from Alexandria: KCdSn2 after structural relaxation (GGA-PBE).

DOS(E_F): 0.55 states/eV/atom

Lattice parameters (Å, degrees): 11.2428 11.2428 11.2428 153.66 153.66 37.59
With the nearest neighbours (Å) after each atom.
Fractional positions:
K 0.0000 0.0000 0.0000  4 Sn 3.43, 4 Cd 3.62
K 0.7500 0.2500 0.5000  4 Sn 3.43, 4 Cd 3.62
Cd 0.2500 0.7500 0.5000  4 Sn 3.06
Cd 0.5000 0.5000 0.0000  4 Sn 3.06
Sn 0.2162 0.6250 0.0912  2 Sn 3.03, 2 Cd 3.06
Sn 0.3750 0.4662 0.5912  2 Sn 3.03, 2 Cd 3.06
Sn 0.5338 0.1250 0.9088  2 Sn 3.03, 2 Cd 3.06
Sn 0.8750 0.7838 0.4088  2 Sn 3.03, 2 Cd 3.06


Entry 11:
Entry from Alexandria: KCd2Sn after structural relaxation (GGA-PBE).

DOS(E_F): 0.62 states/eV/atom

Lattice parameters (Å, degrees): 5.0474 5.0474 4.5147 90.00 90.00 90.00
With the nearest neighbours (Å) after each atom.
Fractional positions:
K 0.0000 0.0000 0.0000  8 Cd 3.39, 4 Sn 3.57
Cd 0.0000 0.5000 0.5000  4 Sn 3.39, 4 K 3.39, 4 Cd 3.57
Cd 0.5000 0.0000 0.5000  4 Sn 3.39, 4 K 3.39, 4 Cd 3.57
Sn 0.5000 0.5000 0.0000  8 Cd 3.39, 4 K 3.57


Entry 12:
Entry from Alexandria: KCd8Sn2 after structural relaxation (GGA-PBE).

DOS(E_F): 0.24 states/eV/atom

Lattice parameters (Å, degrees): 5.5547 5.5547 11.6217 90.00 90.00 116.01
With the nearest neighbours (Å) after each atom.
Fractional positions:
K 0.0000 0.0000 0.0000  8 Cd 3.66
Cd 0.0000 0.5000 0.2046  4 Cd 2.94-3.17
Cd 0.0000 0.5000 0.5000  2 Cd 2.94, 4 Sn 3.23
Cd 0.0000 0.5000 0.7954  4 Cd 2.94-3.17
Cd 0.5000 0.0000 0.2046  4 Cd 2.94-3.17
Cd 0.5000 0.0000 0.5000  2 Cd 2.94, 4 Sn 3.23
Cd 0.5000 0.0000 0.7954  4 Cd 2.94-3.17
Cd 0.5000 0.5000 0.3360  2 Sn 2.95, 4 Cd 3.17
Cd 0.5000 0.5000 0.6640  2 Sn 2.95, 4 Cd 3.17
Sn 0.0000 0.0000 0.3583  10 Cd 2.95-3.30, 1 Sn 3.29
Sn 0.0000 0.0000 0.6417  10 Cd 2.95-3.30, 1 Sn 3.29


| no. | VASP energy (hartree per atom) | E_form (eV/atom) |
| --- | --- | --- |
| 1 | -0.0661 | -0.065 |
| 2 | -0.0635 | 0.005 |
| 3 | -0.0935 | -0.040 |
| 4 | -0.0803 | -0.099 |
| 5 | -0.0491 | -0.011 |
| 6 | -0.0466 | -0.050 |
| 7 | -0.0952 | -0.086 |
| 8 | -0.1190 | -0.126 |
| 9 | -0.0568 | 0.107 |
| 10 | -0.0898 | 0.061 |
| 11 | -0.0620 | 0.046 |
| 12 | -0.0538 | 0.030 |